## ZnRhPbO4 (PBE-GGA)

Data for a geometry-optimized ZnRhPbO4 structure.

Cell and atoms, written as extended XYZ:
```
14
Lattice="-3.2075 1.7179 5.2700 2.9525 -0.1484 5.7365 1.4384 5.5531 2.9564" Properties=species:S:1:pos:R:3 pbc="T T T"
Zn 0.1122 1.7196 7.2899
Zn 1.0712 5.4030 6.6729
Rh -0.8846 3.6355 4.1132
Rh 0.7192 2.7766 1.4782
Pb 0.0000 0.0000 0.0000
Pb 2.1955 2.7024 4.3464
O 0.9920 5.1736 10.5906
O 2.4899 4.2634 7.9079
O -1.3065 2.8592 6.0550
O 0.1914 1.9489 3.3723
O 1.9178 1.7975 6.4663
O 0.3539 2.6351 9.0358
O 0.8295 4.4875 4.9271
O -0.7344 5.3251 7.4966
```

## Properties
Formation energy from raw total energies ... -0.87 eV per atom
Fermi-level density of states ... 7.67 states/eV/cell
Calculated density ... 7.7 g/cm3


## RuPbO2 (PBE-GGA)

Data for a geometry-optimized RuPbO2 structure.

Cell and atoms, written as extended XYZ:
```
4
Lattice="-1.3367 6.6108 1.6297 1.7719 6.2410 2.4608 0.9800 6.8409 -0.6220" Properties=species:S:1:pos:R:3 pbc="T T T"
Pb 0.0000 0.0000 0.0000
Ru 0.7076 9.8464 1.7343
O 1.2425 17.2889 3.0451
O 0.1728 2.4038 0.4234
```

## Properties
Formation energy from raw total energies ... -0.60 eV per atom
Fermi-level density of states ... 4.19 states/eV/cell
Calculated density ... 9.3 g/cm3


## Ru2Pb2O7 (PBE-GGA)

Data for a geometry-optimized Ru2Pb2O7 structure.

Cell and atoms, written as extended XYZ:
```
22
Lattice="6.3938 0.0000 3.6914 2.1313 6.0281 3.6914 0.0000 0.0000 7.3829" Properties=species:S:1:pos:R:3 pbc="T T T"
Ru 4.2625 0.7535 3.6914
Ru 2.1313 3.7676 3.6914
Ru 1.0656 0.7535 5.5372
Ru 1.0656 0.7535 1.8457
Pb 5.3281 3.7676 9.2286
Pb 5.3281 3.7676 5.5372
Pb 4.2625 0.7535 7.3829
Pb 2.1313 3.7676 7.3829
O 1.6835 1.1904 7.3829
O 2.9730 4.8377 5.1494
O 2.9730 0.3166 5.1494
O 3.8148 2.6974 3.6914
O 6.3938 4.5211 11.0743
O 5.5520 1.1904 5.1494
O 2.9730 0.3166 2.2335
O 1.2895 2.6974 5.1494
O 0.4478 0.3166 3.6914
O 1.2895 2.6974 2.2335
O 2.9730 4.8377 9.6164
O 4.2625 3.0141 7.3829
O 5.5520 1.1904 9.6164
O 6.8415 4.8377 7.3829
```

## Properties
Formation energy from raw total energies ... -1.04 eV per atom
Fermi-level density of states ... 10.04 states/eV/cell
Calculated density ... 8.5 g/cm3


## RuPbO3 (PBE-GGA)

Data for a geometry-optimized RuPbO3 structure.

Cell and atoms, written as extended XYZ:
```
5
Lattice="4.1841 0.0000 0.0000 0.0000 4.1841 0.0000 0.0000 0.0000 4.1841" Properties=species:S:1:pos:R:3 pbc="T T T"
Pb 0.0000 0.0000 0.0000
Ru 2.0921 2.0921 2.0921
O 0.0000 2.0921 0.0000
O 0.0000 0.0000 2.0921
O 2.0921 0.0000 0.0000
```

## Properties
Formation energy from raw total energies ... 0.35 eV per atom
Fermi-level density of states ... 4.50 states/eV/cell
Calculated density ... 8.1 g/cm3


## Ru6Pb4O19 (PBE-GGA)

Data for a geometry-optimized Ru6Pb4O19 structure.

Cell and atoms, written as extended XYZ:
```
29
Lattice="-2.4166 4.3902 -6.3359 7.1616 -3.3638 -1.6290 -5.4241 -5.7998 1.4833" Properties=species:S:1:pos:R:3 pbc="T T T"
Ru -1.7590 -5.0542 -1.6992
Ru 1.0800 0.2809 -4.7825
Ru 1.6510 -4.4125 -1.3859
Ru -2.3300 -0.3608 -5.0958
Ru 2.9549 -2.5579 -4.0313
Ru -3.6339 -2.2154 -2.4504
Pb -3.7937 -4.0564 1.0374
Pb 5.0090 -2.3527 -1.1394
Pb -0.2041 -1.4348 -1.9483
Pb -1.6902 3.0706 -4.4314
O -4.9548 -0.8907 -3.0666
O -2.8858 -0.5188 -1.7860
O 1.7465 0.3778 -2.9316
O 2.9986 0.6487 -5.0334
O 1.0980 -5.7908 -0.0921
O 0.6395 -3.3727 -0.0536
O 0.0000 0.0000 0.0000
O -2.1588 -3.1259 -1.6255
O -4.6781 -3.5768 -3.3114
O 1.4247 -1.6593 -4.7637
O 0.8972 0.2214 -6.6925
O 4.0543 -1.1846 -3.2629
O -0.6811 -0.0091 -4.0755
O -1.5560 -5.1012 0.2091
O -0.0181 -4.6577 -2.4045
O -3.2491 1.0082 -4.1127
O 2.4789 -5.7979 -2.4254
O 1.9995 -2.7727 -2.3212
O -2.5874 -1.9842 -4.1041
```

## Properties
Formation energy from raw total energies ... -0.97 eV per atom
Fermi-level density of states ... 16.14 states/eV/cell
Calculated density ... 7.1 g/cm3


## Ru3PbO (PBE-GGA)

Data for a geometry-optimized Ru3PbO structure.

Cell and atoms, written as extended XYZ:
```
5
Lattice="4.1865 0.0000 0.0000 0.0000 4.1865 0.0000 0.0000 0.0000 4.1865" Properties=species:S:1:pos:R:3 pbc="T T T"
Pb 2.0933 2.0933 2.0933
Ru 0.0000 2.0933 0.0000
Ru 0.0000 0.0000 2.0933
Ru 2.0933 0.0000 0.0000
O 0.0000 0.0000 0.0000
```

## Properties
Formation energy from raw total energies ... 0.41 eV per atom
Fermi-level density of states ... 5.67 states/eV/cell
Calculated density ... 11.9 g/cm3


## RuPbO2 (PBE-GGA)

Data for a geometry-optimized RuPbO2 structure.

Cell and atoms, written as extended XYZ:
```
8
Lattice="4.7737 0.0000 0.0000 0.0000 4.7737 0.0000 2.3868 2.3868 5.8322" Properties=species:S:1:pos:R:3 pbc="T T T"
Pb 0.0000 0.0000 0.0000
Pb 4.7737 2.3868 2.9161
Ru 2.3868 2.3868 0.0000
Ru 2.3868 4.7737 2.9161
O 3.0664 1.1934 1.4580
O 1.7073 3.5803 1.4580
O 3.5803 4.0942 4.3741
O 5.9671 5.4532 4.3741
```

## Properties
Formation energy from raw total energies ... -0.37 eV per atom
Fermi-level density of states ... 2.05 states/eV/cell
Calculated density ... 8.5 g/cm3


## Ru3PbO12 (PBE-GGA)

Data for a geometry-optimized Ru3PbO12 structure.

Cell and atoms, written as extended XYZ:
```
32
Lattice="8.2728 0.0000 3.9949 3.1719 7.6406 3.9949 -0.0624 -0.0417 10.6927" Properties=species:S:1:pos:R:3 pbc="T T T"
Ru 6.7815 2.6628 4.1625
Ru 2.9758 3.5137 7.9672
Ru 7.5786 1.4012 9.5089
Ru 5.9364 7.3549 5.2670
Ru 10.1397 5.2424 6.6158
Ru 6.4872 6.4622 10.6134
Pb 0.5960 0.3979 9.3291
Pb 6.3496 4.2391 7.9776
O 1.2921 0.6583 1.3069
O 2.4619 1.9933 8.6587
O 11.0643 7.5208 12.7786
O 8.2105 2.8667 13.9594
O 4.2395 3.2110 6.7847
O 4.0322 0.6001 12.5199
O 7.0557 3.0407 5.8466
O 9.9868 4.4412 11.2655
O 5.9048 1.8597 9.2897
O 8.0328 1.5095 11.1929
O 8.3773 2.6844 8.6131
O 3.8642 4.4577 9.1419
O 2.1773 3.6797 12.6170
O 6.5632 0.9410 3.9434
O 6.0142 7.0104 14.2347
O 5.7144 5.8344 6.0995
O 8.5384 5.3507 7.3073
O 5.4346 3.4940 14.1301
O 6.7945 4.7405 10.6481
O 10.2822 6.4839 16.1259
O 6.2613 6.7079 8.8884
O 3.0794 5.7009 3.7956
O 4.9978 6.8402 11.4458
O 7.8538 7.3352 11.1684
```

## Properties
Formation energy from raw total energies ... -0.71 eV per atom
Fermi-level density of states ... 15.40 states/eV/cell
Calculated density ... 3.4 g/cm3


## RuPb2O2 (PBE-GGA)

Data for a geometry-optimized RuPb2O2 structure.

Cell and atoms, written as extended XYZ:
```
5
Lattice="3.6584 0.0000 0.0000 0.0000 3.6584 0.0000 1.8292 1.8292 6.2269" Properties=species:S:1:pos:R:3 pbc="T T T"
Pb 1.8292 1.8292 1.7497
Pb 3.6584 3.6584 4.4772
Ru 0.0000 0.0000 0.0000
O 3.6584 1.8292 3.1134
O 1.8292 3.6584 3.1134
```

## Properties
Formation energy from raw total energies ... 0.03 eV per atom
Fermi-level density of states ... 2.25 states/eV/cell
Calculated density ... 10.9 g/cm3


## RuPb2O2 (PBE-GGA)

Data for a geometry-optimized RuPb2O2 structure.

Cell and atoms, written as extended XYZ:
```
10
Lattice="7.4558 0.0000 0.0000 0.0000 7.4558 0.0000 0.0000 0.0000 3.3581" Properties=species:S:1:pos:R:3 pbc="T T T"
Pb 2.4461 6.1740 0.0000
Pb 6.1740 5.0097 0.0000
Pb 5.0097 1.2818 0.0000
Pb 1.2818 2.4461 0.0000
Ru 0.0000 0.0000 0.0000
Ru 3.7279 3.7279 0.0000
O 1.3361 5.0640 1.6791
O 5.0640 6.1197 1.6791
O 6.1197 2.3918 1.6791
O 2.3918 1.3361 1.6791
```

## Properties
Formation energy from raw total energies ... 0.19 eV per atom
Fermi-level density of states ... 6.74 states/eV/cell
Calculated density ... 9.7 g/cm3


## Ru2Pb2O7 (PBE-GGA)

Data for a geometry-optimized Ru2Pb2O7 structure.

Cell and atoms, written as extended XYZ:
```
11
Lattice="5.6798 -0.1055 -0.1206 -0.5455 6.1347 -1.0336 -0.5455 -1.8405 5.9427" Properties=species:S:1:pos:R:3 pbc="T T T"
Ru 1.9579 1.0673 1.2201
Ru 2.6308 3.1215 3.5685
Pb -0.5455 0.6135 3.7962
Pb -0.5455 3.6808 1.1130
O 3.5729 4.4591 2.7157
O 1.0158 2.0904 0.0079
O 1.0158 -0.2703 2.0729
O 3.5729 2.0984 4.7807
O 2.8399 -0.0527 -0.0603
O 1.1187 2.3648 2.7034
O 3.4700 1.8240 2.0852
```

## Properties
Formation energy from raw total energies ... -0.89 eV per atom
Fermi-level density of states ... 3.76 states/eV/cell
Calculated density ... 6.2 g/cm3


## Ru2PbO8 (PBE-GGA)

Data for a geometry-optimized Ru2PbO8 structure.

Cell and atoms, written as extended XYZ:
```
11
Lattice="5.6098 -0.2691 -0.2302 0.4158 6.4321 0.0456 0.4158 1.0422 6.3473" Properties=species:S:1:pos:R:3 pbc="T T T"
Ru 2.4680 1.6677 1.4264
Ru 3.9734 5.5375 4.7364
Pb 0.0000 0.0000 0.0000
O 4.4558 0.6023 4.2748
O 1.9856 2.8887 6.2304
O 4.1414 1.2828 1.0972
O 2.3000 5.9224 5.0656
O 4.4558 4.3165 -0.0676
O 1.9856 6.6028 1.8879
O 2.0288 2.9197 2.4973
O 4.4126 4.2855 3.6655
```

## Properties
Formation energy from raw total energies ... -0.76 eV per atom
Fermi-level density of states ... 2.21 states/eV/cell
Calculated density ... 3.9 g/cm3